A plane-wave DFT calculation with PBEsol was carried out for a relaxed CeCrO3 crystal.

CIF file:
```
data_CeCrO3
_chemical_formula_sum 'Ce4 Cr4 O12'
_cell_length_a 5.573
_cell_length_b 7.583
_cell_length_c 5.292
_cell_angle_alpha 90.00
_cell_angle_beta 90.00
_cell_angle_gamma 90.00
_symmetry_space_group_name_H-M 'P n m a'
_symmetry_Int_Tables_number 62
loop_
_symmetry_equiv_pos_as_xyz
'x,y,z'
'-x,-y,-z'
'-x+1/2,-y,z+1/2'
'x+1/2,y,-z+1/2'
'x+1/2,-y+1/2,-z+1/2'
'-x+1/2,y+1/2,z+1/2'
'-x,y+1/2,-z'
'x,-y+1/2,z'
loop_
_atom_site_label
_atom_site_fract_x
_atom_site_fract_y
_atom_site_fract_z
_atom_site_occupancy
Ce1 0.072 0.250 0.018 1
Cr1 0.000 0.000 0.500 1
O1 0.019 0.750 0.406 1
O2 0.200 0.548 0.806 1
```

## Properties
M_tot = 1.98 μB per formula unit
uncorrected formation energy = -2.707 eV per atom

A plane-wave DFT calculation with PBEsol was carried out for a relaxed LiZrCd2 crystal.

CIF file:
```
data_LiZrCd2
_chemical_formula_sum 'Li1 Zr1 Cd2'
_cell_length_a 2.983
_cell_length_b 4.987
_cell_length_c 5.334
_cell_angle_alpha 90.00
_cell_angle_beta 90.00
_cell_angle_gamma 90.00
_symmetry_space_group_name_H-M 'P m m 2'
_symmetry_Int_Tables_number 25
loop_
_symmetry_equiv_pos_as_xyz
'x,y,z'
'-x,-y,z'
'-x,y,z'
'x,-y,z'
loop_
_atom_site_label
_atom_site_fract_x
_atom_site_fract_y
_atom_site_fract_z
_atom_site_occupancy
Li1 0.000 0.000 0.000 1
Zr1 0.000 0.500 0.383 1
Cd1 0.500 0.000 0.520 1
Cd2 0.500 0.500 0.882 1
```

## Properties
relative energy among the computed polymorphs = 0.25 eV/f.u.
M_tot = 0.00 μB per formula unit
ΔH_f (0 K) = -0.135 eV/atom

A plane-wave DFT calculation with PBEsol was carried out for a relaxed LiCu5F12 crystal.

CIF file:
```
data_LiCu5F12
_chemical_formula_sum 'Li2 Cu10 F24'
_cell_length_a 6.495
_cell_length_b 6.579
_cell_length_c 9.133
_cell_angle_alpha 90.00
_cell_angle_beta 90.00
_cell_angle_gamma 90.00
_symmetry_space_group_name_H-M 'C m m m'
_symmetry_Int_Tables_number 65
_symmetry_space_group_name_Hall '-C 2 2'
loop_
_atom_site_label
_atom_site_fract_x
_atom_site_fract_y
_atom_site_fract_z
_atom_site_occupancy
Li1 0.000 0.000 0.000 1
Cu1 0.000 0.000 0.328 1
Cu2 0.000 0.500 0.163 1
Cu3 0.000 0.500 0.500 1
F1 0.000 0.306 0.333 1
F2 0.000 0.307 0.000 1
F3 0.193 0.000 0.500 1
F4 0.200 0.000 0.171 1
```

## Properties
M_tot = 6.07 μB per formula unit
uncorrected formation energy = -1.654 eV per atom

A plane-wave DFT calculation with PBEsol was carried out for a relaxed Y2BPbO crystal.

CIF file:
```
data_Y2BPbO
_chemical_formula_sum 'Y2 B1 Pb1 O1'
_cell_length_a 5.325
_cell_length_b 5.325
_cell_length_c 3.376
_cell_angle_alpha 90.00
_cell_angle_beta 90.00
_cell_angle_gamma 90.00
_symmetry_space_group_name_H-M 'P 4/m m m'
_symmetry_Int_Tables_number 123
_symmetry_space_group_name_Hall '-P 4 2'
loop_
_atom_site_label
_atom_site_fract_x
_atom_site_fract_y
_atom_site_fract_z
_atom_site_occupancy
Y1 0.000 0.500 0.000 1
B1 0.000 0.000 0.000 1
Pb1 0.500 0.500 0.500 1
O1 0.000 0.000 0.500 1
```

## Properties
M_tot = 0.00 μB per formula unit
uncorrected formation energy = -0.298 eV per atom

A plane-wave DFT calculation with PBEsol was carried out for a relaxed Cd2CoP crystal.

CIF file:
```
data_Cd2CoP
_chemical_formula_sum 'Cd6 Co3 P3'
_cell_length_a 2.8813
_cell_length_b 2.8813
_cell_length_c 27.3624
_cell_angle_alpha 90.00
_cell_angle_beta 90.00
_cell_angle_gamma 120.00
_symmetry_space_group_name_H-M 'R -3 m'
_symmetry_Int_Tables_number 166
_symmetry_space_group_name_Hall '-R 3 2"'
loop_
_atom_site_label
_atom_site_fract_x
_atom_site_fract_y
_atom_site_fract_z
_atom_site_occupancy
Cd1 0.0000 0.0000 0.2438 1
Co1 0.0000 0.0000 0.5000 1
P1 0.0000 0.0000 0.0000 1
```

## Properties
M_tot = 1.35 μB per formula unit
ΔH_f (0 K) = 0.462 eV/atom

A plane-wave DFT calculation with PBEsol was carried out for a relaxed Li3La crystal.

CIF file:
```
data_Li3La
_chemical_formula_sum 'Li3 La1'
_cell_length_a 3.440
_cell_length_b 3.440
_cell_length_c 7.998
_cell_angle_alpha 90.00
_cell_angle_beta 90.00
_cell_angle_gamma 90.00
_symmetry_space_group_name_H-M 'P 4/m m m'
_symmetry_Int_Tables_number 123
_symmetry_space_group_name_Hall '-P 4 2'
loop_
_atom_site_label
_atom_site_fract_x
_atom_site_fract_y
_atom_site_fract_z
_atom_site_occupancy
Li1 0.000 0.000 0.000 1
Li2 0.500 0.500 0.201 1
La1 0.000 0.000 0.500 1
```

## Properties
relative energy among the computed polymorphs = 0.00 eV/f.u.
M_tot = 0.00 μB per formula unit
ΔH_f (0 K) = 0.082 eV/atom

A plane-wave DFT calculation with PBEsol was carried out for a relaxed La5Pt crystal.

CIF file:
```
data_La5Pt
_chemical_formula_sum 'La5 Pt1'
_cell_length_a 3.673
_cell_length_b 3.673
_cell_length_c 13.262
_cell_angle_alpha 90.00
_cell_angle_beta 90.00
_cell_angle_gamma 90.00
_symmetry_space_group_name_H-M 'P 4/m m m'
_symmetry_Int_Tables_number 123
_symmetry_space_group_name_Hall '-P 4 2'
loop_
_atom_site_label
_atom_site_fract_x
_atom_site_fract_y
_atom_site_fract_z
_atom_site_occupancy
La1 0.000 0.000 0.000 1
La2 0.000 0.000 0.373 1
La3 0.500 0.500 0.186 1
Pt1 0.500 0.500 0.500 1
```

## Properties
relative energy among the computed polymorphs = 0.00 eV/f.u.
M_tot = 0.00 μB per formula unit
ΔH_f (0 K) = -0.325 eV/atom

A plane-wave DFT calculation with PBEsol was carried out for a relaxed FeNiIr crystal.

CIF file:
```
data_FeNiIr
_chemical_formula_sum 'Fe4 Ni4 Ir4'
_cell_length_a 5.531
_cell_length_b 5.531
_cell_length_c 5.531
_cell_angle_alpha 90.00
_cell_angle_beta 90.00
_cell_angle_gamma 90.00
_symmetry_space_group_name_H-M 'F -4 3 m'
_symmetry_Int_Tables_number 216
_symmetry_space_group_name_Hall 'F -4 2 3'
loop_
_atom_site_label
_atom_site_fract_x
_atom_site_fract_y
_atom_site_fract_z
_atom_site_occupancy
Fe1 0.000 0.000 0.000 1
Ni1 0.250 0.250 0.250 1
Ir1 0.000 0.000 0.500 1
```

## Properties
relative energy among the computed polymorphs = 1.83 eV/f.u.
M_tot = 4.78 μB per formula unit
ΔH_f (0 K) = 0.604 eV/atom